Entry 1:
Here is an optimized crystal structure of Nd2TmS from the Alexandria database. Energies are from PBE.

Output
- DOS at the Fermi energy (states/eV/f.u.) = 4.4
- uncorrected energy (eV/cell) = -64.73
- M_tot (μB/cell) = 2.5

Unit cell a=3.8478 b=3.8478 c=28.4403 alpha=90.00 beta=90.00 gamma=120.00
Space group R-3m (No. 166, hexagonal axes)
Inequivalent atoms, fractional coordinates:
Nd 0.0000 0.0000 0.2290 [6 per cell]
Tm 0.0000 0.0000 0.0000 [3 per cell]
S 0.0000 0.0000 0.5000 [3 per cell]

Entry 2:
Here is an optimized crystal structure of Cs2K2Zn from the Alexandria database. Energies are from PBE.

Output
- energy of formation from the pure elements (meV/atom) = 202
- excess energy over the best structure of this formula in the dataset (meV/atom) = 57
- DOS at the Fermi energy (states/eV/f.u.) = 4.8
- uncorrected energy (eV/cell) = -8.33
- M_tot (μB/cell) = 0.0

Unit cell a=5.5374 b=5.5374 c=25.7295 alpha=90.00 beta=90.00 gamma=90.00
Space group I4/mmm (No. 139)
Inequivalent atoms, fractional coordinates:
Cs 0.0000 0.0000 0.0860 [4 per cell]
K 0.0000 0.5000 0.2500 [4 per cell]
Zn 0.0000 0.0000 0.5000 [2 per cell]

Entry 3:
Here is an optimized crystal structure of SrS2I from the Alexandria database. Energies are from PBE.

Output
- excess energy over the best structure of this formula in the dataset (meV/atom) = 436
- DOS at the Fermi energy (states/eV/f.u.) = 4.4
- uncorrected energy (eV/cell) = -51.38
- M_tot (μB/cell) = 8.1

Unit cell a=7.4829 b=7.4829 c=7.4829 alpha=90.00 beta=90.00 gamma=90.00
Space group Fm-3m (No. 225)
Inequivalent atoms, fractional coordinates:
Sr 0.0000 0.0000 0.0000 [4 per cell]
S 0.2500 0.2500 0.2500 [8 per cell]
I 0.0000 0.0000 0.5000 [4 per cell]

Entry 4:
Here is an optimized crystal structure of HoErCoPd from the Alexandria database. Energies are from PBE.

Output
- energy of formation from the pure elements (meV/atom) = -563
- excess energy over the best structure of this formula in the dataset (meV/atom) = 0
- DOS at the Fermi energy (states/eV/f.u.) = 1.6
- uncorrected energy (eV/cell) = -23.69
- M_tot (μB/cell) = 0.2

Unit cell a=3.3784 b=3.3784 c=6.8561 alpha=90.00 beta=90.00 gamma=90.00
Space group P4mm (No. 99)
Inequivalent atoms, fractional coordinates:
Ho 0.0000 0.0000 0.0000 [1 per cell]
Er 0.0000 0.0000 0.5262 [1 per cell]
Co 0.5000 0.5000 0.7619 [1 per cell]
Pd 0.5000 0.5000 0.2654 [1 per cell]